## LaBMoPb2 (PBE)

Data for a relaxed structure of LaBMoPb2.

Results
ΔH_f (0 K): 0.5087 eV per atom
Uncorrected energy: -5.462 eV/atom

Cell and atoms, written as CIF:
```
data_LaBMoPb2
_chemical_formula_sum 'La1 B1 Mo1 Pb2'
_cell_length_a 5.183
_cell_length_b 5.183
_cell_length_c 4.381
_cell_angle_alpha 90.00
_cell_angle_beta 90.00
_cell_angle_gamma 90.00
_symmetry_space_group_name_H-M 'P 4/m m m'
_symmetry_Int_Tables_number 123
_symmetry_space_group_name_Hall '-P 4 2'
loop_
_atom_site_label
_atom_site_type_symbol
_atom_site_fract_x
_atom_site_fract_y
_atom_site_fract_z
La1 La 0.000 0.000 0.000
B1 B 0.500 0.500 0.500
Mo1 Mo 0.500 0.500 0.000
Pb1 Pb 0.000 0.500 0.500
```



## LaScBMo2 (PBE)

Data for a relaxed structure of LaScBMo2.

Results
ΔH_f (0 K): 1.4541 eV per atom
Uncorrected energy: -6.466 eV/atom

Cell and atoms, written as CIF:
```
data_LaScBMo2
_chemical_formula_sum 'La1 Sc1 B1 Mo2'
_cell_length_a 4.795
_cell_length_b 4.795
_cell_length_c 4.571
_cell_angle_alpha 90.00
_cell_angle_beta 90.00
_cell_angle_gamma 90.00
_symmetry_space_group_name_H-M 'P 4/m m m'
_symmetry_Int_Tables_number 123
_symmetry_space_group_name_Hall '-P 4 2'
loop_
_atom_site_label
_atom_site_type_symbol
_atom_site_fract_x
_atom_site_fract_y
_atom_site_fract_z
La1 La 0.000 0.000 0.000
Sc1 Sc 0.500 0.500 0.500
B1 B 0.500 0.500 0.000
Mo1 Mo 0.000 0.500 0.500
```



## LaTl2BMo (PBE)

Data for a relaxed structure of LaTl2BMo.

Results
ΔH_f (0 K): 0.9309 eV per atom
Uncorrected energy: -4.503 eV/atom

Cell and atoms, written as CIF:
```
data_LaTl2BMo
_chemical_formula_sum 'La1 Tl2 B1 Mo1'
_cell_length_a 4.804
_cell_length_b 4.804
_cell_length_c 5.199
_cell_angle_alpha 90.00
_cell_angle_beta 90.00
_cell_angle_gamma 90.00
_symmetry_space_group_name_H-M 'P 4/m m m'
_symmetry_Int_Tables_number 123
_symmetry_space_group_name_Hall '-P 4 2'
loop_
_atom_site_label
_atom_site_type_symbol
_atom_site_fract_x
_atom_site_fract_y
_atom_site_fract_z
La1 La 0.000 0.000 0.000
Tl1 Tl 0.000 0.500 0.500
B1 B 0.000 0.000 0.500
Mo1 Mo 0.500 0.500 0.000
```



## LaZnBMo2 (PBE)

Data for a relaxed structure of LaZnBMo2.

Results
ΔH_f (0 K): 0.4287 eV per atom
Uncorrected energy: -6.480 eV/atom

Cell and atoms, written as CIF:
```
data_LaZnBMo2
_chemical_formula_sum 'La1 Zn1 B1 Mo2'
_cell_length_a 4.307
_cell_length_b 4.307
_cell_length_c 5.086
_cell_angle_alpha 90.00
_cell_angle_beta 90.00
_cell_angle_gamma 90.00
_symmetry_space_group_name_H-M 'P 4/m m m'
_symmetry_Int_Tables_number 123
_symmetry_space_group_name_Hall '-P 4 2'
loop_
_atom_site_label
_atom_site_type_symbol
_atom_site_fract_x
_atom_site_fract_y
_atom_site_fract_z
La1 La 0.000 0.000 0.000
Zn1 Zn 0.500 0.500 0.000
B1 B 0.000 0.000 0.500
Mo1 Mo 0.000 0.500 0.500
```



## LaBN (PBE)

Data for a relaxed structure of LaBN.

Results
Excess energy over the best structure of this formula in the dataset: 0 meV per atom
Uncorrected energy: -7.725 eV/atom
Energy relative to the elements, uncorrected: -1.0814 eV per atom

Cell and atoms, written as CIF:
```
data_LaBN
_chemical_formula_sum 'La4 B4 N4'
_cell_length_a 3.915
_cell_length_b 12.565
_cell_length_c 3.485
_cell_angle_alpha 90.00
_cell_angle_beta 90.00
_cell_angle_gamma 90.00
_symmetry_space_group_name_H-M 'C m c m'
_symmetry_Int_Tables_number 63
_symmetry_space_group_name_Hall '-C 2c 2'
loop_
_atom_site_label
_atom_site_type_symbol
_atom_site_fract_x
_atom_site_fract_y
_atom_site_fract_z
La1 La 0.000 0.142 0.250
B1 B 0.000 0.462 0.250
N1 N 0.000 0.346 0.250
```



## La3B2N6 (PBE)

Data for a relaxed structure of La3B2N6.

Results
Uncorrected energy: -7.605 eV/atom
Energy relative to the elements, uncorrected: -0.5057 eV per atom

Cell and atoms, written as CIF:
```
data_La3B2N6
_chemical_formula_sum 'La6 B4 N12'
_cell_length_a 3.665
_cell_length_b 3.665
_cell_length_c 20.506
_cell_angle_alpha 90.00
_cell_angle_beta 90.00
_cell_angle_gamma 90.00
_symmetry_space_group_name_H-M 'I 4/m m m'
_symmetry_Int_Tables_number 139
_symmetry_space_group_name_Hall '-I 4 2'
loop_
_atom_site_label
_atom_site_type_symbol
_atom_site_fract_x
_atom_site_fract_y
_atom_site_fract_z
La1 La 0.000 0.000 0.000
La2 La 0.000 0.000 0.179
B1 B 0.000 0.000 0.380
N1 N 0.000 0.000 0.309
N2 N 0.000 0.500 0.089
```



## La2BN2 (PBE)

Data for a relaxed structure of La2BN2.

Results
Uncorrected energy: -7.373 eV/atom
Energy relative to the elements, uncorrected: -0.7369 eV per atom

Cell and atoms, written as CIF:
```
data_La2BN2
_chemical_formula_sum 'La8 B4 N8'
_cell_length_a 3.165
_cell_length_b 14.671
_cell_length_c 6.496
_cell_angle_alpha 90.00
_cell_angle_beta 90.00
_cell_angle_gamma 90.00
_symmetry_space_group_name_H-M 'C m c 21'
_symmetry_Int_Tables_number 36
loop_
_symmetry_equiv_pos_as_xyz
'x,y,z'
'-x,-y,z+1/2'
'-x,y,z'
'x,-y,z+1/2'
'x+1/2,y+1/2,z'
'-x+1/2,-y+1/2,z+1/2'
'-x+1/2,y+1/2,z'
'x+1/2,-y+1/2,z+1/2'
loop_
_atom_site_label
_atom_site_type_symbol
_atom_site_fract_x
_atom_site_fract_y
_atom_site_fract_z
La1 La 0.000 0.036 0.000
La2 La 0.000 0.231 0.711
B1 B 0.000 0.380 0.979
N1 N 0.000 0.131 0.364
N2 N 0.000 0.417 0.188
```



## La5B2N6 (PBE)

Data for a relaxed structure of La5B2N6.

Results
Uncorrected energy: -8.119 eV/atom
Energy relative to the elements, uncorrected: -1.3539 eV per atom

Cell and atoms, written as CIF:
```
data_La5B2N6
_chemical_formula_sum 'La10 B4 N12'
_cell_length_a 12.559
_cell_length_b 3.705
_cell_length_c 9.068
_cell_angle_alpha 90.00
_cell_angle_beta 105.61
_cell_angle_gamma 90.00
_symmetry_space_group_name_H-M 'C 1 2/m 1'
_symmetry_Int_Tables_number 12
loop_
_symmetry_equiv_pos_as_xyz
'x,y,z'
'-x,-y,-z'
'-x,y,-z'
'x,-y,z'
'x+1/2,y+1/2,z'
'-x+1/2,-y+1/2,-z'
'-x+1/2,y+1/2,-z'
'x+1/2,-y+1/2,z'
loop_
_atom_site_label
_atom_site_type_symbol
_atom_site_fract_x
_atom_site_fract_y
_atom_site_fract_z
La1 La 0.000 0.000 0.000
La2 La 0.125 0.500 0.375
La3 La 0.192 0.500 0.819
B1 B 0.055 0.000 0.589
N1 N 0.026 0.000 0.737
N2 N 0.156 0.500 0.077
N3 N 0.171 0.000 0.583
```



For each record above, in turn, the calculated D(E_F) values are 4.110; 6.913; 3.673; 3.486; 0.895; 2.962; 3.113; 1.424 states/eV/f.u..